[1]
Computed, not measured: SrPdN2 after structural relaxation at the PBE-GGA level of DFT.

Cell lengths 5.135, 5.135, 6.355 Å; angles 66.17, 66.17, 90.00 degrees
Positions (direct):
N1 0.375 0.289 0.750
N2 0.875 0.961 0.750
N3 0.039 0.625 0.250
N4 0.711 0.125 0.250
Sr1 0.500 0.500 0.000
Sr2 0.250 0.750 0.500
Pd1 0.750 0.250 0.500
Pd2 0.000 0.000 0.000

Properties
E_form (uncorrected) in eV/atom: 0.386

---

[2]
Computed, not measured: TcSnBi2B after structural relaxation at the PBE-GGA level of DFT.

Cell lengths 5.089, 4.560, 5.089 Å; angles 90.00, 90.00, 90.00 degrees
Each line ends with the local moment (μB).
Positions (direct):
Tc1 0.500 0.500 0.500  2.56
B1 0.000 0.000 0.000  0.00
Bi1 0.500 0.000 0.000  -0.08
Bi2 0.000 0.000 0.500  -0.09
Sn1 0.000 0.500 0.000  -0.02

Properties
Formation energy from the elements in meV per atom: 1189

---

[3]
Computed, not measured: Cd2ReAu after structural relaxation at the PBE-GGA level of DFT.

Cell lengths 7.614, 7.614, 6.077 Å; angles 51.21, 51.21, 90.00 degrees
Each line ends with the local moment (μB).
Positions (direct):
Cd1 0.123 0.625 0.250  -0.02
Cd2 0.627 0.125 0.250  -0.02
Cd3 0.875 0.877 0.750  -0.02
Cd4 0.375 0.373 0.750  -0.01
Re1 0.250 0.750 0.500  1.74
Re2 0.500 0.500 0.000  1.74
Au1 0.750 0.250 0.500  0.07
Au2 0.000 0.000 0.000  0.07

Properties
Formation energy from the elements in meV per atom: 882

---

[4]
Computed, not measured: Ca2HgSI after structural relaxation at the PBE-GGA level of DFT.

Cell lengths 5.379, 6.278, 5.379 Å; angles 90.00, 90.00, 90.00 degrees
Positions (direct):
I1 0.500 0.500 0.500
Ca1 0.500 0.000 0.000
Ca2 0.000 0.000 0.500
Hg1 0.000 0.500 0.000
S1 0.000 0.000 0.000

Properties
E_form (uncorrected) in eV/atom: -0.847

---

[5]
Computed, not measured: YH2O after structural relaxation at the PBE-GGA level of DFT.

Cell lengths 6.230, 5.945, 5.939 Å; angles 90.00, 118.35, 90.00 degrees
Positions (direct):
H1 0.063 0.066 0.833
H2 0.063 0.434 0.333
H3 0.063 0.934 0.833
H4 0.060 0.194 0.160
H5 0.060 0.806 0.160
H6 0.060 0.694 0.660
H7 0.060 0.306 0.660
H8 0.063 0.566 0.333
Y1 0.387 0.000 0.292
Y2 0.732 0.500 0.464
Y3 0.732 0.000 0.964
Y4 0.387 0.500 0.792
O1 0.560 0.750 0.627
O2 0.560 0.750 0.127
O3 0.560 0.250 0.127
O4 0.560 0.250 0.627

---

[6]
Computed, not measured: CaTaSi4 after structural relaxation at the PBE-GGA level of DFT.

Cell lengths 5.129, 5.129, 5.129 Å; angles 60.00, 60.00, 60.00 degrees
Positions (direct):
Si1 0.377 0.377 0.868
Si2 0.377 0.377 0.377
Si3 0.868 0.377 0.377
Si4 0.377 0.868 0.377
Ca1 0.000 0.000 0.000
Ta1 0.750 0.750 0.750

Properties
E_form (uncorrected) in eV/atom: 0.170

---

[7]
Computed, not measured: CoAs2Au after structural relaxation at the PBE-GGA level of DFT.

Cell lengths 3.862, 3.047, 6.577 Å; angles 79.45, 90.00, 90.00 degrees
Each line ends with the local moment (μB).
Positions (direct):
Au1 0.000 0.538 0.529  -0.01
Co1 0.500 0.965 0.714  0.50
As1 0.000 0.889 0.910  0.00
As2 0.500 0.108 0.347  -0.01

Properties
Formation energy from the elements in meV per atom: 209

---

[8]
Computed, not measured: HoPaNiRu after structural relaxation at the PBE-GGA level of DFT.

Cell lengths 4.801, 4.801, 4.801 Å; angles 60.00, 60.00, 60.00 degrees
Positions (direct):
Ru1 0.750 0.750 0.750
Pa1 0.500 0.500 0.500
Ni1 0.250 0.250 0.250
Ho1 0.000 0.000 0.000

Properties
Formation energy from the elements in meV per atom: -319

---

| no. | VASP energy (eV per atom) | DOS(E_F) (states/eV per cell) |
| --- | --- | --- |
| 1 | -5.496 | 10.7 |
| 2 | -4.573 | 5.2 |
| 3 | -3.507 | 3.8 |
| 4 | -2.844 | 1.7 |
| 5 | -6.105 | 0.0 |
| 6 | -5.754 | 5.3 |
| 7 | -4.711 | 2.6 |
| 8 | -7.602 | 6.2 |